The following is a DFT calculation (GGA-PBE) of a relaxed structure of SrMgZn2Au.

For the uncorrected energy, the calculation gives -2.23 eV/atom. The calculation puts the calculated volume at 22.7 A^3/atom. The space group is Imm2, No. 44. The calculation puts the calculated formation energy at -404.8 meV per atom. The calculation puts the density of states at the Fermi level at 0.522 states/eV/atom.

POSCAR file:
```
SrMgZn2Au
1.0
4.304 0.000 0.000
0.000 4.377 0.000
-2.152 -2.189 6.016
Sr Mg Zn Au
1 1 2 1
Direct
0.441 0.441 0.882 Sr
0.194 0.694 0.388 Mg
0.689 0.189 0.378 Zn
0.055 0.055 0.109 Zn
0.834 0.834 0.667 Au
```